1.
The following is a DFT calculation (PBE-GGA) of a relaxed structure of CaSi2Ag8O8.

## Properties
Calculated volume = 326.9 Å³/f.u.
Raw formation energy = -19.36 eV per formula unit
E above lowest polymorph = 0.0743 eV per atom
Symmetry = P-4 (81)

Unit cell a=7.551 b=7.551 c=5.733 alpha=90.00 beta=90.00 gamma=90.00
Positions (direct):
Ca (0.000, 0.000, 0.500)
Si (0.500, 0.500, 0.500)
Si (0.000, 0.000, 0.000)
Ag (0.364, 0.262, 0.022)
Ag (0.857, 0.620, 0.640)
Ag (0.143, 0.380, 0.640)
Ag (0.620, 0.143, 0.360)
Ag (0.380, 0.857, 0.360)
Ag (0.738, 0.364, 0.978)
Ag (0.636, 0.738, 0.022)
Ag (0.262, 0.636, 0.978)
O (0.831, 0.961, 0.178)
O (0.519, 0.315, 0.661)
O (0.039, 0.831, 0.822)
O (0.685, 0.519, 0.339)
O (0.481, 0.685, 0.661)
O (0.169, 0.039, 0.178)
O (0.961, 0.169, 0.822)
O (0.315, 0.481, 0.339)

2.
The following is a DFT calculation (PBE-GGA) of a relaxed structure of Bi8Rh8O27.

## Properties
Calculated volume = 551.9 Å³/f.u.
Raw formation energy = -43.10 eV per formula unit
Symmetry = R3m (160)

Unit cell a=7.310 b=7.310 c=12.650 alpha=73.21 beta=73.21 gamma=60.00
Positions (direct):
Bi (0.496, 0.496, 0.512)
Bi (0.743, 0.256, 0.745)
Bi (0.256, 0.743, 0.745)
Bi (0.001, 0.001, 0.997)
Bi (0.256, 0.256, 0.745)
Bi (0.749, 0.250, 0.253)
Bi (0.250, 0.749, 0.253)
Bi (0.749, 0.749, 0.253)
Rh (0.001, 0.001, 0.499)
Rh (0.499, 0.001, 0.499)
Rh (0.001, 0.499, 0.499)
Rh (0.749, 0.749, 0.752)
Rh (0.501, 0.501, 0.000)
Rh (0.998, 0.501, 0.000)
Rh (0.501, 0.998, 0.000)
Rh (0.250, 0.250, 0.250)
O (0.292, 0.292, 0.540)
O (0.919, 0.919, 0.669)
O (0.997, 0.585, 0.834)
O (0.876, 0.292, 0.540)
O (0.585, 0.997, 0.834)
O (0.292, 0.876, 0.540)
O (0.791, 0.791, 0.042)
O (0.493, 0.919, 0.669)
O (0.208, 0.629, 0.954)
O (0.629, 0.208, 0.954)
O (0.919, 0.493, 0.669)
O (0.069, 0.069, 0.794)
O (0.585, 0.585, 0.834)
O (0.416, 0.416, 0.167)
O (0.791, 0.376, 0.042)
O (0.938, 0.938, 0.185)
O (0.376, 0.791, 0.042)
O (0.082, 0.502, 0.333)
O (0.502, 0.082, 0.333)
O (0.208, 0.208, 0.954)
O (0.001, 0.416, 0.167)
O (0.127, 0.706, 0.460)
O (0.416, 0.001, 0.167)
O (0.706, 0.127, 0.460)
O (0.556, 0.556, 0.332)
O (0.082, 0.082, 0.333)
O (0.706, 0.706, 0.460)